Entry 1:
A geometry-optimized MoRuPb2 structure. Source: the Alexandria database, functional PBEsol.

Summary:
Total magnetization = 0.00 μB/f.u.
D(E_F) = 0.6164 states/eV/atom
DFT total energy = -6.99 eV/atom
Energy of formation = 493 meV/atom
Space group = R3m, No. 160
Distance to the lowest polymorph of the same formula = 0 meV/atom

```
4
Lattice="1.5318 0.8844 10.2781 -1.5318 0.8844 10.2781 0.0000 -1.7688 10.2781" Properties=species:S:1:pos:R:3 pbc="T T T"
Mo 0.0000 0.0000 0.0000
Ru 0.0000 0.0000 8.4267
Pb 0.0000 0.0000 16.2840
Pb 0.0000 0.0000 23.0742
```

Entry 2:
A geometry-optimized MoRu2Pb structure. Source: the Alexandria database, functional PBEsol.

Summary:
Total magnetization = 0.00 μB/f.u.
D(E_F) = 1.1475 states/eV/atom
DFT total energy = -8.51 eV/atom
Energy of formation = 518 meV/atom
Space group = Pm, No. 6

```
4
Lattice="2.9044 0.0000 0.0000 0.0000 4.0692 0.0000 -0.0016 0.0000 5.4687" Properties=species:S:1:pos:R:3 pbc="T T T"
Mo 0.0000 0.0000 0.0000
Ru 0.0024 0.0000 3.0458
Ru 1.4563 2.0346 4.4366
Pb 1.4537 2.0346 1.6919
```

Entry 3:
A geometry-optimized MoRuPb2 structure. Source: the Alexandria database, functional PBEsol.

Summary:
Total magnetization = 0.81 μB/f.u.
D(E_F) = 1.7822 states/eV/atom
DFT total energy = -6.75 eV/atom
Energy of formation = 730 meV/atom
Space group = Fm-3m, No. 225
Distance to the lowest polymorph of the same formula = 237 meV/atom

```
4
Lattice="0.0000 3.3270 3.3270 3.3270 0.0000 3.3270 3.3270 3.3270 0.0000" Properties=species:S:1:pos:R:3 pbc="T T T"
Mo 0.0000 0.0000 0.0000
Ru 3.3270 3.3270 3.3270
Pb 1.6635 1.6635 1.6635
Pb 4.9905 4.9905 4.9905
```